1.
Density functional theory data (GGA-PBE) for a relaxed structure of PrAs2IrRh2.

Computed properties:
The energy of formation is -43 kJ per mole of atoms. The total energy is -6.718 eV/atom. The space group is Pnnm (58). The calculated density comes out at 9.07 g cm⁻³. The spin magnetization is 0.00 μB per formula unit.

Cell: 4.898 12.352 4.167 Å, 90.00 90.00 90.00°
Element x y z (fractional)
Pr: 0.000 0.000 0.000
Pr: 0.500 0.500 0.500
As: 0.170 0.316 0.000
As: 0.330 0.816 0.500
As: 0.670 0.184 0.500
As: 0.830 0.684 0.000
Ir: 0.000 0.500 0.000
Ir: 0.500 0.000 0.500
Rh: 0.063 0.657 0.500
Rh: 0.437 0.157 0.000
Rh: 0.563 0.843 0.000
Rh: 0.937 0.343 0.500

2.
Density functional theory data (GGA-PBE) for a relaxed structure of Rb2Na4P.

Computed properties:
The energy of formation is -9 kJ per mole of atoms. The total energy is -1.893 eV/atom. The space group is I4/mmm (139). The calculated density comes out at 1.33 g cm⁻³. The spin magnetization is 0.00 μB per formula unit.

Cell: 12.514 12.514 12.514 Å, 154.39 154.39 36.53°
Element x y z (fractional)
Rb: 0.186 0.186 0.000
Rb: 0.814 0.814 0.000
Na: 0.000 0.500 0.500
Na: 0.385 0.385 0.000
Na: 0.500 0.000 0.500
Na: 0.615 0.615 0.000
P: 0.500 0.500 0.000